(1)
# Nd6Sb3TeSe2

Crystalline Nd6Sb3TeSe2 at its relaxed geometry (PBE-GGA, Alexandria via LeMat-Bulk).

Cell and atoms, written as extended XYZ:
```
12
Lattice="9.649 -2.219 0.000 9.649 2.219 0.000 -1.992 0.000 8.619" Properties=species:S:1:pos:R:3 pbc="T T T"
Nd -0.422 0.000 2.227
Nd 4.543 0.000 7.822
Nd 5.538 0.000 3.631
Nd 11.768 0.000 4.988
Nd 12.764 0.000 0.797
Nd 17.729 0.000 6.392
Sb 1.497 0.000 7.173
Sb 8.653 0.000 4.309
Sb 15.809 0.000 1.446
Te 9.649 0.000 0.000
Se 2.576 0.000 2.882
Se 14.730 0.000 5.737
```

DOS(E_F) in states/eV per atom: 0.4226
Crystal system: monoclinic
Formation energy without anion corrections in eV/atom: -1.456
Space group: C2/m (12)



(2)
# NdCd12Hg6

Crystalline NdCd12Hg6 at its relaxed geometry (PBE-GGA, Alexandria via LeMat-Bulk).

Cell and atoms, written as extended XYZ:
```
19
Lattice="6.289 3.631 3.415 -6.289 3.631 3.415 0.000 -7.262 3.415" Properties=species:S:1:pos:R:3 pbc="T T T"
Nd 0.000 0.000 0.000
Cd -1.665 -4.353 3.421
Cd -2.495 -1.461 4.662
Cd -2.938 3.618 3.421
Cd -4.602 -0.735 6.823
Cd -2.513 1.430 5.582
Cd 0.018 -2.892 5.582
Cd -0.018 2.892 4.662
Cd 2.513 -1.430 4.662
Cd 4.602 0.735 3.421
Cd 2.938 -3.618 6.823
Cd 2.495 1.461 5.582
Cd 1.665 4.353 6.823
Hg -1.632 0.917 2.591
Hg 0.022 -1.872 2.591
Hg 1.610 0.955 2.591
Hg -1.610 -0.955 7.653
Hg -0.022 1.872 7.653
Hg 1.632 -0.917 7.653
```

DOS(E_F) in states/eV per atom: 0.2534
Crystal system: trigonal
Formation energy in eV per atom: -0.053
Space group: R-3 (148)



(3)
# CsDy3F10

Crystalline CsDy3F10 at its relaxed geometry (PBE-GGA, Alexandria via LeMat-Bulk).

Cell and atoms, written as extended XYZ:
```
28
Lattice="0.000 5.899 5.899 5.899 0.000 5.899 5.899 5.899 0.000" Properties=species:S:1:pos:R:3 pbc="T T T"
Cs 2.950 2.950 2.950
Cs 8.849 8.849 8.849
Dy 5.899 5.899 2.836
Dy 5.899 2.836 5.899
Dy 8.963 5.899 5.899
Dy 2.836 5.899 5.899
Dy 5.899 8.963 5.899
Dy 5.899 5.899 8.963
F 1.283 1.283 1.283
F 4.616 4.616 1.283
F 4.616 1.283 4.616
F 5.899 3.971 3.971
F 7.827 5.899 3.971
F 7.827 3.971 5.899
F 10.516 7.183 7.183
F 3.971 5.899 3.971
F 5.899 7.827 3.971
F 3.971 3.971 5.899
F 7.827 7.827 5.899
F 5.899 3.971 7.827
F 7.827 5.899 7.827
F 1.283 4.616 4.616
F 3.971 7.827 5.899
F 3.971 5.899 7.827
F 5.899 7.827 7.827
F 7.183 10.516 7.183
F 7.183 7.183 10.516
F 10.516 10.516 10.516
```

DOS(E_F) in states/eV per atom: 0.0000
Crystal system: cubic
Formation energy without anion corrections in eV/atom: -3.983
Space group: Fm-3m (225)



(4)
# NaPtF2

Crystalline NaPtF2 at its relaxed geometry (PBE-GGA, Alexandria via LeMat-Bulk).

Cell and atoms, written as extended XYZ:
```
4
Lattice="0.000 2.994 2.994 2.994 0.000 2.994 2.994 2.994 0.000" Properties=species:S:1:pos:R:3 pbc="T T T"
Na 0.000 0.000 0.000
Pt 2.994 2.994 2.994
F 1.497 1.497 1.497
F 4.491 4.491 4.491
```

DOS(E_F) in states/eV per atom: 1.3129
Crystal system: cubic
Energy relative to the lowest polymorph listed for this composition in eV per atom: 0.802
Formation energy without anion corrections in eV/atom: -0.846
Space group: Fm-3m (225)



(5)
# YHo2Er5Sc

Crystalline YHo2Er5Sc at its relaxed geometry (PBE-GGA, Alexandria via LeMat-Bulk).

Cell and atoms, written as extended XYZ:
```
18
Lattice="2.749 -9.873 0.000 2.749 9.873 0.000 0.000 0.000 10.253" Properties=species:S:1:pos:R:3 pbc="T T T"
Y 2.749 8.082 5.127
Y 2.749 -8.082 0.000
Ho 2.749 2.254 8.009
Ho 2.749 2.196 3.672
Ho 2.749 -2.196 8.799
Ho 2.749 -2.254 2.882
Er 2.749 9.496 8.048
Er 2.749 7.469 0.688
Er 2.749 5.923 7.702
Er 2.749 5.435 3.742
Er 2.749 0.341 0.651
Er 2.749 -0.341 5.777
Er 2.749 -5.435 8.868
Er 2.749 -5.923 2.575
Er 2.749 -7.469 5.814
Er 2.749 -9.496 2.922
Sc 2.749 3.871 0.615
Sc 2.749 -3.871 5.742
```

DOS(E_F) in states/eV per atom: 1.6903
Crystal system: orthorhombic
Formation energy in eV per atom: 0.175
Space group: Cmc2_1 (36)



(6)
# Cs4SrAc3O8

Crystalline Cs4SrAc3O8 at its relaxed geometry (PBE-GGA, Alexandria via LeMat-Bulk).

Cell and atoms, written as extended XYZ:
```
16
Lattice="3.890 2.246 6.986 -3.890 2.246 6.986 0.000 -4.492 6.986" Properties=species:S:1:pos:R:3 pbc="T T T"
Cs 0.000 0.000 0.000
Cs -1.945 -1.123 6.986
Cs -1.945 1.123 13.973
Cs 0.000 2.246 6.986
Sr 0.000 0.000 10.480
Ac -3.890 0.000 10.480
Ac -1.945 1.123 3.493
Ac 1.945 1.123 3.493
O -2.005 -1.157 11.713
O 0.000 0.000 4.747
O 0.000 -2.315 9.246
O -2.005 1.157 9.246
O 2.005 -1.157 11.713
O 0.000 2.315 11.713
O 0.000 0.000 16.212
O 2.005 1.157 9.246
```

DOS(E_F) in states/eV per atom: 0.9153
Crystal system: trigonal
Formation energy without anion corrections in eV/atom: -2.303
Space group: R-3m (166)



(7)
# KSmAgBr5

Crystalline KSmAgBr5 at its relaxed geometry (PBE-GGA, Alexandria via LeMat-Bulk).

Cell and atoms, written as extended XYZ:
```
16
Lattice="4.638 -6.532 0.000 4.638 6.532 0.000 -4.021 0.000 9.993" Properties=species:S:1:pos:R:3 pbc="T T T"
K 1.622 4.625 7.495
K 3.632 -4.625 2.498
Sm 4.638 0.000 0.000
Sm 2.627 0.000 4.997
Ag 3.632 4.076 2.498
Ag 1.622 -4.076 7.495
Br -2.082 0.766 9.431
Br 1.933 2.570 3.945
Br -0.071 -0.766 4.435
Br 1.622 1.091 7.495
Br 5.332 2.570 1.052
Br -0.077 -2.570 8.941
Br 3.632 -1.091 2.498
Br 5.326 0.766 5.558
Br 3.322 -2.570 6.049
Br 7.336 -0.766 0.562
```

DOS(E_F) in states/eV per atom: 0.0000
Crystal system: monoclinic
Formation energy without anion corrections in eV/atom: -1.455
Space group: C2/c (15)



(8)
# KP2Au

Crystalline KP2Au at its relaxed geometry (PBE-GGA, Alexandria via LeMat-Bulk).

Cell and atoms, written as extended XYZ:
```
4
Lattice="-2.144 3.287 3.743 2.144 -3.287 3.743 2.144 3.287 -3.743" Properties=species:S:1:pos:R:3 pbc="T T T"
K 0.000 0.000 0.000
P 2.144 0.000 2.590
P 0.000 3.287 1.153
Au 0.000 0.000 3.743
```

DOS(E_F) in states/eV per atom: 0.5567
Crystal system: orthorhombic
Energy relative to the lowest polymorph listed for this composition in eV per atom: 0.276
Formation energy in eV per atom: -0.047
Space group: Immm (71)



(9)
# Na2SbN

Crystalline Na2SbN at its relaxed geometry (PBE-GGA, Alexandria via LeMat-Bulk).

Cell and atoms, written as extended XYZ:
```
8
Lattice="-4.883 4.883 2.226 4.883 -4.883 2.226 4.883 4.883 -2.226" Properties=species:S:1:pos:R:3 pbc="T T T"
Na 0.513 2.441 0.556
Na -2.441 4.369 1.669
Na -0.513 7.324 0.556
Na 2.441 5.396 1.669
Sb 4.883 0.000 1.113
Sb 0.000 0.000 2.226
N 0.000 0.000 0.000
N 0.000 4.883 1.113
```

DOS(E_F) in states/eV per atom: 0.9465
Crystal system: tetragonal
Energy relative to the lowest polymorph listed for this composition in eV per atom: 0.000
Formation energy without anion corrections in eV/atom: 0.288
Space group: I-42d (122)



(10)
# NpU2Pa

Crystalline NpU2Pa at its relaxed geometry (PBE-GGA, Alexandria via LeMat-Bulk).

Cell and atoms, written as extended XYZ:
```
4
Lattice="3.290 0.000 0.000 0.000 3.290 0.000 0.000 0.000 7.760" Properties=species:S:1:pos:R:3 pbc="T T T"
Np 0.000 0.000 0.000
U 1.645 1.645 1.629
U 1.645 1.645 6.131
Pa 0.000 0.000 3.880
```

Crystal system: tetragonal
Formation energy in eV per atom: 0.221
Space group: P4/mmm (123)



(11)
# Hg4HI

Crystalline Hg4HI at its relaxed geometry (PBE-GGA, Alexandria via LeMat-Bulk).

Cell and atoms, written as extended XYZ:
```
6
Lattice="3.799 -2.767 0.000 3.799 2.767 0.000 -1.709 0.000 7.912" Properties=species:S:1:pos:R:3 pbc="T T T"
Hg 0.440 0.000 2.092
Hg 0.437 0.000 7.039
Hg 5.452 0.000 0.873
Hg 5.448 0.000 5.820
H 3.799 0.000 0.000
I 2.944 0.000 3.956
```

Final energy in eV/cell: -5.76
DOS(E_F) in states/eV per atom: 0.1914
Crystal system: monoclinic
Space group: C2/m (12)



(12)
# KPtRhO6

Crystalline KPtRhO6 at its relaxed geometry (PBE-GGA, Alexandria via LeMat-Bulk).

Cell and atoms, written as extended XYZ:
```
9
Lattice="5.319 0.000 0.000 -2.660 4.606 0.000 0.000 0.000 5.906" Properties=species:S:1:pos:R:3 pbc="T T T"
K 0.000 0.000 0.000
Pt 0.000 3.071 2.953
Rh 2.660 1.535 2.953
O 2.098 0.010 4.046
O 1.057 1.812 1.859
O 3.222 0.010 1.859
O 1.619 2.785 4.046
O 4.262 1.812 4.046
O 3.700 2.785 1.859
```

DOS(E_F) in states/eV per atom: 0.6664
Crystal system: trigonal
Formation energy without anion corrections in eV/atom: -0.657
Space group: P312 (149)